# 1
Entry from the Alexandria database: a relaxed structure of Pr3InCo (PBE).

Unit cell a=5.316 b=5.316 c=5.316 alpha=90.00 beta=90.00 gamma=90.00
Fractional positions:
Pr 0.000 0.500 0.000
Pr 0.000 0.000 0.500
Pr 0.500 0.000 0.000
Co 0.000 0.000 0.000
In 0.500 0.500 0.500

* formation enthalpy at 0 K: -0.140 eV/atom
* calculated density: 6.6 g cm⁻³
* E: -4.98 eV per atom
* calculated volume: 30.0 Å³/atom
* DOS(E_F): 4.936 states/eV/cell

***

# 2
Entry from the Alexandria database: a relaxed structure of Na4La3DyTe8 (PBE).

Unit cell a=9.185 b=9.205 c=9.186 alpha=119.94 beta=120.00 gamma=90.00
Fractional positions:
Na 0.500 0.000 0.000
Na 0.500 0.000 0.500
Na 0.000 0.000 0.000
Na 0.000 0.000 0.500
La 0.500 0.500 0.000
La 0.500 0.500 0.500
La 0.000 0.500 0.500
Dy 0.000 0.500 0.000
Te 0.241 0.738 0.997
Te 0.241 0.738 0.482
Te 0.252 0.257 0.504
Te 0.756 0.738 0.997
Te 0.244 0.262 0.003
Te 0.748 0.743 0.496
Te 0.759 0.262 0.518
Te 0.759 0.262 0.003

* formation energy (no corrections): -1.38 eV per atom
* calculated density: 5.1 g cm⁻³
* E: -4.49 eV per atom
* calculated volume: 34.4 Å³/atom

***

# 3
Entry from the Alexandria database: a relaxed structure of SrSc2Ta (PBE).

Unit cell a=11.343 b=11.343 c=11.343 alpha=16.49 beta=16.49 gamma=16.49
Site moments in Bohr magnetons follow the coordinates.
Fractional positions:
Sc 0.006 0.006 0.006  0.14
Sc 0.258 0.258 0.258  0.26
Sr 0.494 0.494 0.494  0.01
Ta 0.742 0.742 0.742  -0.02

* formation enthalpy at 0 K: 0.528 eV/atom
* calculated density: 5.8 g cm⁻³
* E: -6.02 eV per atom
* calculated volume: 25.6 Å³/atom
* DOS(E_F): 5.092 states/eV/cell

***

The lowest calculated volume belongs to which entry?
SrSc2Ta